# 1
PBE Mg3CdBi3, relaxed; formation energy = -96.0 meV/atom; crystal system = orthorhombic; M_tot = 0.000 μB/atom; SG = No. 64; energy above the lowest structure with this stoichiometry = 0.000 eV/atom
1.0
7.589 0.000 0.000
-3.794 8.853 0.000
0.000 0.000 12.073
Mg Bi Cd
12 12 4
Direct
0.644 0.000 0.899 Mg
0.856 0.000 0.399 Mg
0.185 0.661 0.898 Mg
0.815 0.339 0.102 Mg
0.976 0.661 0.398 Mg
0.024 0.339 0.602 Mg
0.476 0.661 0.102 Mg
0.356 0.000 0.101 Mg
0.524 0.339 0.898 Mg
0.144 0.000 0.601 Mg
0.685 0.661 0.602 Mg
0.315 0.339 0.398 Mg
0.426 0.338 0.148 Bi
0.751 0.000 0.652 Bi
0.574 0.662 0.852 Bi
0.588 0.662 0.352 Bi
0.412 0.338 0.648 Bi
0.251 0.000 0.848 Bi
0.074 0.662 0.648 Bi
0.926 0.338 0.352 Bi
0.249 0.000 0.348 Bi
0.749 0.000 0.152 Bi
0.088 0.662 0.148 Bi
0.912 0.338 0.852 Bi
0.591 0.183 0.500 Cd
0.409 0.817 0.500 Cd
0.909 0.817 0.000 Cd
0.091 0.183 0.000 Cd

# 2
PBE DyTmPa2Sb4, relaxed; E_form (uncorrected) = -0.750 eV per atom; crystal system = monoclinic; M_tot = 0.261 μB/atom; SG = No. 10
1.0
-0.392 1.902 -3.900
-1.885 -6.636 -3.047
-6.283 3.560 2.368
Pa Sb Tm Dy
2 4 1 1
Direct
0.000 0.500 0.500 Pa
0.500 0.000 0.500 Pa
0.500 0.749 0.753 Sb
0.000 0.747 0.246 Sb
0.000 0.253 0.754 Sb
0.500 0.251 0.247 Sb
0.500 0.500 0.000 Tm
0.000 0.000 0.000 Dy

# 3
PBE AcPrTh2Pt4, relaxed; formation energy = -1140.5 meV/atom; crystal system = orthorhombic; M_tot = 0.000 μB/atom; SG = No. 69
1.0
5.983 0.323 0.000
-0.329 5.983 0.000
-2.827 -3.153 6.040
Pt Ac Th Pr
4 1 2 1
Direct
0.937 0.437 0.000 Pt
0.191 0.191 0.508 Pt
0.684 0.684 0.492 Pt
0.437 0.937 0.000 Pt
0.937 0.937 0.000 Ac
0.187 0.687 0.500 Th
0.687 0.187 0.500 Th
0.437 0.437 0.000 Pr

# 4
PBE CrWCl2, relaxed; E_form (uncorrected) = 1.000 eV per atom; crystal system = tetragonal; M_tot = 0.797 μB/atom; SG = No. 139; energy above the lowest structure with this stoichiometry = 1.162 eV/atom
1.0
4.679 -0.006 0.000
0.967 4.578 0.000
-2.823 -2.286 2.949
Cl Cr W
2 1 1
Direct
0.500 0.500 0.000 Cl
0.000 0.000 0.000 Cl
0.250 0.750 0.500 Cr
0.750 0.250 0.500 W

# 5
PBE DyMgGa2Cu5, relaxed; formation energy = -53.9 meV/atom; crystal system = tetragonal; M_tot = 0.000 μB/atom; SG = No. 123
1.0
4.473 0.000 0.000
0.000 4.473 0.000
0.000 0.000 7.519
Cu Mg Ga Dy
5 1 2 1
Direct
0.500 0.000 0.279 Cu
0.000 0.500 0.279 Cu
0.500 0.000 0.721 Cu
0.000 0.500 0.721 Cu
0.500 0.500 0.500 Cu
0.000 0.000 0.000 Mg
0.500 0.500 0.837 Ga
0.500 0.500 0.163 Ga
0.000 0.000 0.500 Dy

# 6
PBE LaMnRh3, relaxed; formation energy = 1098.1 meV/atom; crystal system = cubic; M_tot = 0.997 μB/atom; SG = No. 221; energy above the lowest structure with this stoichiometry = 1.063 eV/atom
1.0
4.885 0.000 0.000
0.000 4.885 0.000
0.000 0.000 4.885
Rh Mn La
3 1 1
Direct
0.000 0.000 0.500 Rh
0.500 0.000 0.000 Rh
0.000 0.500 0.000 Rh
0.500 0.500 0.500 Mn
0.000 0.000 0.000 La

# 7
PBE Nd4NiSn, relaxed; formation energy = -355.4 meV/atom; crystal system = monoclinic; M_tot = 0.000 μB/atom; SG = No. 11; energy above the lowest structure with this stoichiometry = 0.000 eV/atom
1.0
1.972 4.225 -3.631
-3.098 -3.216 -5.425
-8.508 1.330 4.071
Nd Sn Ni
8 2 2
Direct
0.092 0.507 0.724 Nd
0.908 0.493 0.276 Nd
0.559 0.250 0.447 Nd
0.686 0.250 0.877 Nd
0.314 0.750 0.123 Nd
0.092 0.993 0.724 Nd
0.908 0.007 0.276 Nd
0.441 0.750 0.553 Nd
0.315 0.250 0.069 Sn
0.685 0.750 0.931 Sn
0.204 0.250 0.551 Ni
0.796 0.750 0.449 Ni

# 8
PBE ThAlC, relaxed; formation energy = -297.5 meV/atom; crystal system = monoclinic; M_tot = 0.000 μB/atom; SG = No. 12; energy above the lowest structure with this stoichiometry = 0.000 eV/atom
1.0
-1.897 -2.647 1.981
3.298 -1.678 0.915
0.497 4.427 6.371
Al Th C
2 2 2
Direct
0.251 0.749 0.422 Al
0.749 0.251 0.578 Al
0.750 0.250 0.163 Th
0.250 0.750 0.837 Th
0.749 0.251 0.838 C
0.251 0.749 0.162 C

# 9
PBE PaTa3, relaxed; formation energy = 290.2 meV/atom; crystal system = orthorhombic; M_tot = 0.000 μB/atom; SG = No. 44; energy above the lowest structure with this stoichiometry = 0.194 eV/atom
1.0
-1.653 -2.173 1.053
3.065 -0.207 4.383
-3.754 4.621 -0.425
Ta Pa
3 1
Direct
0.500 0.531 0.000 Ta
0.242 0.547 0.483 Ta
0.758 0.064 0.517 Ta
0.000 0.024 0.000 Pa

# 10
PBE Pr2SmP3Pt12, relaxed; formation energy = -462.3 meV/atom; crystal system = trigonal; M_tot = 0.000 μB/atom; SG = No. 166
1.0
7.791 -0.277 -0.196
3.607 6.912 -0.196
3.607 2.099 6.588
Pt P Pr Sm
12 3 2 1
Direct
0.338 0.898 0.338 Pt
0.662 0.102 0.662 Pt
0.898 0.338 0.338 Pt
0.143 0.143 0.592 Pt
0.857 0.857 0.408 Pt
0.662 0.662 0.102 Pt
0.338 0.338 0.898 Pt
0.408 0.857 0.857 Pt
0.143 0.592 0.143 Pt
0.102 0.662 0.662 Pt
0.592 0.143 0.143 Pt
0.857 0.408 0.857 Pt
0.500 0.000 0.000 P
0.000 0.000 0.500 P
0.000 0.500 0.000 P
0.599 0.599 0.599 Pr
0.401 0.401 0.401 Pr
0.000 0.000 0.000 Sm

# 11
PBE RbCaPbO3, relaxed; E_form (uncorrected) = -1.667 eV per atom; crystal system = monoclinic; M_tot = 0.000 μB/atom; SG = No. 11
1.0
4.123 0.000 0.000
0.000 6.183 0.484
0.000 -0.933 10.502
Pb Ca O Rb
2 2 6 2
Direct
0.750 0.797 0.259 Pb
0.250 0.203 0.741 Pb
0.250 0.704 0.961 Ca
0.750 0.296 0.039 Ca
0.750 0.671 0.059 O
0.250 0.329 0.941 O
0.250 0.866 0.780 O
0.750 0.134 0.220 O
0.250 0.733 0.336 O
0.750 0.267 0.664 O
0.750 0.733 0.618 Rb
0.250 0.267 0.382 Rb

# 12
PBE CaY2NbMo, relaxed; formation energy = 2020.6 meV/atom; crystal system = tetragonal; M_tot = 0.000 μB/atom; SG = No. 123
1.0
-4.007 -3.184 -1.198
0.498 -2.183 4.137
-3.357 3.398 2.196
Ca Y Nb Mo
1 2 1 1
Direct
0.000 0.000 0.000 Ca
0.000 0.000 0.500 Y
0.500 0.000 0.000 Y
0.000 0.500 0.000 Nb
0.500 0.500 0.500 Mo

# 13
PBE TbMgScHg, relaxed; formation energy = -256.3 meV/atom; crystal system = tetragonal; M_tot = 0.001 μB/atom; SG = No. 99; energy above the lowest structure with this stoichiometry = 0.000 eV/atom
1.0
3.667 0.000 0.000
0.000 3.667 0.000
0.000 0.000 7.275
Sc Hg Mg Tb
1 1 1 1
Direct
0.000 0.000 0.352 Sc
0.500 0.500 0.131 Hg
0.500 0.500 0.584 Mg
0.000 0.000 0.860 Tb

# 14
PBE ZnClF3, relaxed; E_form (uncorrected) = -1.409 eV per atom; crystal system = triclinic; M_tot = 0.000 μB/atom; SG = No. 2; energy above the lowest structure with this stoichiometry = 0.000 eV/atom
1.0
6.008 0.198 -0.566
2.814 4.881 -0.354
-0.915 -0.004 5.956
F Zn Cl
6 2 2
Direct
0.133 0.150 0.725 F
0.627 0.524 0.350 F
0.003 0.775 0.352 F
0.366 0.525 0.702 F
0.741 0.776 0.704 F
0.235 0.150 0.329 F
0.343 0.842 0.528 Zn
0.025 0.458 0.526 Zn
0.869 0.783 0.031 Cl
0.499 0.517 0.023 Cl

# 15
PBE Tb8Sm4Pu, relaxed; formation energy = 525.9 meV/atom; crystal system = trigonal; M_tot = 0.534 μB/atom; SG = No. 166
1.0
-6.085 1.736 -4.517
-4.314 -5.196 3.851
-2.130 5.530 5.032
Pu Tb Sm
1 8 4
Direct
0.500 0.500 0.500 Pu
0.245 0.757 0.757 Tb
0.243 0.243 0.755 Tb
0.757 0.757 0.245 Tb
0.757 0.757 0.757 Tb
0.757 0.245 0.757 Tb
0.243 0.755 0.243 Tb
0.755 0.243 0.243 Tb
0.243 0.243 0.243 Tb
0.000 0.500 0.500 Sm
0.500 0.500 0.000 Sm
0.500 0.000 0.500 Sm
0.000 0.000 0.000 Sm

# 16
PBE Np2Te2F, relaxed; E_form (uncorrected) = -1.165 eV per atom; crystal system = tetragonal; M_tot = 1.798 μB/atom; SG = No. 141
1.0
4.158 0.000 -0.638
-0.098 4.157 -0.638
0.559 0.572 17.506
Np Te F
4 4 2
Direct
0.965 0.465 0.930 Np
0.285 0.285 0.570 Np
0.715 0.715 0.430 Np
0.535 0.035 0.070 Np
0.431 0.931 0.862 Te
0.069 0.569 0.138 Te
0.819 0.819 0.638 Te
0.181 0.181 0.362 Te
0.500 0.500 0.000 F
0.750 0.250 0.500 F

# 17
PBE LiNbN3, relaxed; E_form (uncorrected) = 0.369 eV per atom; crystal system = cubic; M_tot = 0.489 μB/atom; SG = No. 221
1.0
4.088 0.000 0.000
0.000 4.088 0.000
0.000 0.000 4.088
N Li Nb
3 1 1
Direct
0.000 0.000 0.500 N
0.500 0.000 0.000 N
0.000 0.500 0.000 N
0.500 0.500 0.500 Li
0.000 0.000 0.000 Nb

# 18
PBE CrSi2W, relaxed; E_form (uncorrected) = 0.286 eV per atom; crystal system = tetragonal; M_tot = 0.238 μB/atom; SG = No. 99; energy above the lowest structure with this stoichiometry = 0.548 eV/atom
1.0
2.646 0.000 0.000
0.000 2.646 0.000
0.000 0.000 8.006
W Si Cr
1 2 1
Direct
0.000 0.000 0.506 W
0.000 0.000 0.976 Si
0.500 0.500 0.254 Si
0.500 0.500 0.764 Cr

# 19
PBE SmHfPdPt, relaxed; formation energy = -784.2 meV/atom; crystal system = cubic; M_tot = 0.000 μB/atom; SG = No. 216
1.0
-0.075 -4.865 0.157
3.531 -2.560 -2.163
3.268 -2.399 2.695
Pd Pt Hf Sm
1 1 1 1
Direct
0.250 0.250 0.250 Pd
0.750 0.750 0.750 Pt
0.500 0.500 0.500 Hf
0.000 0.000 0.000 Sm

# 20
PBE Ca2Mg2Cd15, relaxed; formation energy = -137.8 meV/atom; crystal system = trigonal; M_tot = 0.000 μB/atom; SG = No. 166
1.0
-3.477 4.242 -5.446
-1.287 -5.677 -5.086
-7.311 -1.543 1.980
Cd Ca Mg
15 2 2
Direct
0.640 0.157 0.640 Cd
0.704 0.296 0.000 Cd
0.157 0.640 0.640 Cd
0.360 0.843 0.360 Cd
0.000 0.000 0.500 Cd
0.640 0.640 0.157 Cd
0.296 0.000 0.704 Cd
0.500 0.000 0.000 Cd
0.000 0.704 0.296 Cd
0.843 0.360 0.360 Cd
0.360 0.360 0.843 Cd
0.000 0.500 0.000 Cd
0.296 0.704 0.000 Cd
0.000 0.296 0.704 Cd
0.704 0.000 0.296 Cd
0.660 0.660 0.660 Ca
0.340 0.340 0.340 Ca
0.896 0.896 0.896 Mg
0.104 0.104 0.104 Mg

# 21
PBE Er2TiTl3S6, relaxed; E_form (uncorrected) = -1.279 eV per atom; crystal system = monoclinic; M_tot = 0.084 μB/atom; SG = No. 12
1.0
6.706 0.003 -0.004
-3.349 5.810 -0.004
-1.125 -1.947 7.532
S Er Tl Ti
6 2 3 1
Direct
0.249 0.249 0.803 S
0.624 0.937 0.810 S
0.937 0.624 0.810 S
0.751 0.751 0.197 S
0.063 0.376 0.190 S
0.376 0.063 0.190 S
0.666 0.334 0.000 Er
0.334 0.666 0.000 Er
0.828 0.172 0.500 Tl
0.172 0.828 0.500 Tl
0.500 0.500 0.500 Tl
0.000 0.000 0.000 Ti

# 22
PBE Mg2IrBr, relaxed; E_form (uncorrected) = 0.058 eV per atom; crystal system = cubic; M_tot = 0.000 μB/atom; SG = No. 225; energy above the lowest structure with this stoichiometry = 0.596 eV/atom
1.0
0.000 3.355 3.355
3.355 0.000 3.355
3.355 3.355 0.000
Ir Br Mg
1 1 2
Direct
0.500 0.500 0.500 Ir
0.000 0.000 0.000 Br
0.250 0.250 0.250 Mg
0.750 0.750 0.750 Mg

# 23
PBE YTiS2, relaxed; E_form (uncorrected) = -1.098 eV per atom; crystal system = trigonal; M_tot = 0.442 μB/atom; SG = No. 166; energy above the lowest structure with this stoichiometry = 0.195 eV/atom
1.0
2.244 0.000 7.830
-1.122 1.943 7.830
-1.122 -1.943 7.830
Ti S Y
1 2 1
Direct
0.000 0.000 0.000 Ti
0.899 0.899 0.899 S
0.101 0.101 0.101 S
0.500 0.500 0.500 Y